No. 1
{"formula": "PrNdHoAg", "functional": "PBE", "state": "relaxed", "dft_energy_ry_per_atom": -0.3076, "de_polymorph_ev_per_fu": 0.73, "density_g_cm3": 7.9, "formation_energy_mev_per_atom": 58, "crystal_system": "cubic", "lattice": [[5.5025, 0.0000, 0.0000], [2.7513, 4.7653, 0.0000], [2.7513, 1.5884, 4.4928]], "species": ["Pr", "Ho", "Nd", "Ag"], "frac_coords": [[0.7500, 0.7500, 0.7500], [0.0000, 0.0000, 0.0000], [0.2500, 0.2500, 0.2500], [0.5000, 0.5000, 0.5000]]}

No. 2
{"formula": "UTlPb2Se6", "functional": "PBE", "state": "relaxed", "dft_energy_ry_per_atom": -0.3530, "density_g_cm3": 6.9, "crystal_system": "trigonal", "formation_energy_uncorrected_ev_per_atom": -0.6044, "lattice": [[7.5145, 0.0006, 0.0006], [3.7578, 6.5074, 0.0003], [3.7575, 2.1696, 6.5222]], "species": ["Pb", "Pb", "Se", "Se", "Se", "Se", "Se", "Se", "U", "Tl"], "frac_coords": [[0.0118, 0.0118, 0.9648], [0.5255, 0.5254, 0.4236], [0.9717, 0.5695, 0.2487], [0.1270, 0.4185, 0.7618], [0.5693, 0.2102, 0.2487], [0.4184, 0.6929, 0.7616], [0.6929, 0.1269, 0.7618], [0.2101, 0.9718, 0.2487], [0.3251, 0.3251, 0.0248], [0.8098, 0.8097, 0.5708]]}

No. 3
{"formula": "SmAlHgAu", "functional": "PBE", "state": "relaxed", "dft_energy_ry_per_atom": -0.2574, "density_g_cm3": 10.9, "formation_energy_mev_per_atom": -492, "crystal_system": "cubic", "lattice": [[4.9850, 0.0000, 0.0000], [2.4925, 4.3172, 0.0000], [2.4925, 1.4391, 4.0703]], "species": ["Hg", "Sm", "Au", "Al"], "frac_coords": [[0.5000, 0.5000, 0.5000], [0.7500, 0.7500, 0.7500], [0.0000, 0.0000, 0.0000], [0.2500, 0.2500, 0.2500]]}

No. 4
{"formula": "TiTePb3", "functional": "PBE", "state": "relaxed", "dft_energy_ry_per_atom": -0.2459, "de_polymorph_ev_per_fu": 4.01, "density_g_cm3": 6.4, "crystal_system": "cubic", "formation_energy_uncorrected_ev_per_atom": 1.0869, "lattice": [[5.9154, 0.0000, 0.0000], [0.0000, 5.9154, 0.0000], [0.0000, 0.0000, 5.9154]], "species": ["Pb", "Pb", "Pb", "Ti", "Te"], "frac_coords": [[0.0000, 0.0000, 0.5000], [0.5000, 0.0000, 0.0000], [0.0000, 0.5000, 0.0000], [0.5000, 0.5000, 0.5000], [0.0000, 0.0000, 0.0000]]}

No. 5
{"formula": "Nd4Dy7In", "functional": "PBE", "state": "relaxed", "dft_energy_ry_per_atom": -0.3202, "density_g_cm3": 7.5, "formation_energy_mev_per_atom": 145, "crystal_system": "monoclinic", "lattice": [[-3.8887, -2.0059, -3.4394], [4.0309, -12.6945, -1.6568], [-5.5523, -1.5037, 2.6517]], "species": ["Nd", "Nd", "Nd", "Nd", "Dy", "Dy", "Dy", "Dy", "Dy", "Dy", "Dy", "In"], "frac_coords": [[0.3929, 0.2734, 0.9408], [0.7307, 0.2225, 0.3160], [0.6071, 0.7266, 0.0592], [0.2693, 0.7775, 0.6839], [0.1480, 0.1136, 0.5905], [0.8520, 0.8864, 0.4095], [0.0303, 0.3763, 0.5632], [0.3274, 0.5325, 0.8126], [0.5000, 0.0000, 0.0000], [0.6726, 0.4675, 0.1874], [0.9697, 0.6237, 0.4368], [0.0000, 0.0000, 0.0000]]}

No. 6
{"formula": "MoPd6Rh", "functional": "PBE", "state": "relaxed", "dft_energy_ry_per_atom": -0.4548, "density_g_cm3": 11.5, "formation_energy_mev_per_atom": -20, "crystal_system": "orthorhombic", "lattice": [[-2.2427, -3.7898, -0.8098], [-0.7198, 1.5573, -5.2949], [4.5284, -2.9857, 1.4316]], "species": ["Mo", "Pd", "Pd", "Pd", "Pd", "Pd", "Pd", "Rh"], "frac_coords": [[0.5000, 0.6749, 0.3497], [0.0000, 0.8289, 0.1639], [0.5000, 0.6680, 0.8365], [0.0000, 0.3317, 0.6633], [0.5000, 0.1685, 0.8365], [0.5000, 0.1685, 0.3370], [0.0000, 0.3350, 0.1639], [0.0000, 0.8246, 0.6492]]}